No. 1
! La2Ho6Tm | the Alexandria database | PBE-GGA | optimized geometry; values from VASP
&SYSTEM
  ibrav = 0, nat = 9, ntyp = 3
/
ATOMIC_SPECIES
Ho 164.93 Ho.upf
Tm 168.93 Tm.upf
La 138.91 La.upf
CELL_PARAMETERS angstrom
3.578 0.000 0.000
-1.789 3.098 0.000
0.000 0.000 26.442
ATOMIC_POSITIONS crystal
Ho 0.333 0.667 0.437
Ho 0.333 0.667 0.563
Ho 0.667 0.333 0.894
Ho 0.667 0.333 0.106
Ho 0.333 0.667 0.211
Ho 0.333 0.667 0.789
Tm 0.333 0.667 0.000
La 0.667 0.333 0.328
La 0.667 0.333 0.672
! ΔH_f (0 K)   0.0679 eV/atom
! Crystal system   hexagonal
! SG   P-6m2
! Energy above the most stable polymorph in this dataset   0.0 kJ/mol of atoms
! Density of states at the Fermi level   1.669 states/eV/atom

***

No. 2
! La8Ho4Tm | the Alexandria database | PBE-GGA | optimized geometry; values from VASP
&SYSTEM
  ibrav = 0, nat = 13, ntyp = 3
/
ATOMIC_SPECIES
Ho 164.93 Ho.upf
La 138.91 La.upf
Tm 168.93 Tm.upf
CELL_PARAMETERS angstrom
-2.602 -1.754 -6.490
5.377 -3.838 2.886
-6.779 -3.693 7.719
ATOMIC_POSITIONS crystal
Ho 0.000 0.500 0.000
Ho 0.500 0.000 0.000
Ho 0.000 0.000 0.000
Ho 0.500 0.500 0.000
La 0.504 0.752 0.715
La 0.037 0.248 0.285
La 0.581 0.791 0.372
La 0.496 0.248 0.285
La 0.037 0.790 0.285
La 0.419 0.209 0.628
La 0.963 0.210 0.715
La 0.963 0.752 0.715
Tm 0.000 0.500 0.500
! ΔH_f (0 K)   0.1685 eV/atom
! Crystal system   trigonal
! SG   R-3m
! Density of states at the Fermi level   1.311 states/eV/atom

***

No. 3
! La3Ho12Tm | the Alexandria database | PBE-GGA | optimized geometry; values from VASP
&SYSTEM
  ibrav = 0, nat = 16, ntyp = 3
/
ATOMIC_SPECIES
La 138.91 La.upf
Tm 168.93 Tm.upf
Ho 164.93 Ho.upf
CELL_PARAMETERS angstrom
-0.591 4.892 -1.074
-4.385 0.017 2.491
9.693 4.909 17.028
ATOMIC_POSITIONS crystal
La 0.000 0.000 0.250
La 0.000 0.000 0.750
La 0.000 0.000 0.500
Tm 0.000 0.000 0.000
Ho 0.500 0.500 0.000
Ho 0.500 0.000 0.879
Ho 0.500 0.000 0.626
Ho 0.500 0.000 0.121
Ho 0.000 0.500 0.374
Ho 0.500 0.500 0.753
Ho 0.500 0.000 0.374
Ho 0.000 0.500 0.121
Ho 0.000 0.500 0.879
Ho 0.000 0.500 0.626
Ho 0.500 0.500 0.247
Ho 0.500 0.500 0.500
! ΔH_f (0 K)   0.0327 eV/atom
! Crystal system   tetragonal
! SG   P4/mmm
! Density of states at the Fermi level   1.529 states/eV/atom

***

No. 4
! LaHo10Tm4 | the Alexandria database | PBE-GGA | optimized geometry; values from VASP
&SYSTEM
  ibrav = 0, nat = 15, ntyp = 3
/
ATOMIC_SPECIES
Ho 164.93 Ho.upf
Tm 168.93 Tm.upf
La 138.91 La.upf
CELL_PARAMETERS angstrom
5.947 0.000 2.685
2.973 8.994 1.343
-0.728 0.000 9.540
ATOMIC_POSITIONS crystal
Ho 0.462 0.161 0.417
Ho 0.623 0.417 0.839
Ho 0.120 0.417 0.839
Ho 0.250 0.500 0.500
Ho 0.959 0.161 0.417
Ho 0.377 0.583 0.161
Ho 0.538 0.839 0.583
Ho 0.880 0.583 0.161
Ho 0.750 0.500 0.500
Ho 0.041 0.839 0.583
Tm 0.568 0.109 0.756
Tm 0.323 0.244 0.109
Tm 0.432 0.891 0.244
Tm 0.677 0.756 0.891
La 0.000 0.000 0.000
! ΔH_f (0 K)   0.5595 eV/atom
! Crystal system   tetragonal
! SG   I4/m
! Density of states at the Fermi level   1.975 states/eV/atom

***

No. 5
! La8Ho3Tm2 | the Alexandria database | PBE-GGA | optimized geometry; values from VASP
&SYSTEM
  ibrav = 0, nat = 13, ntyp = 3
/
ATOMIC_SPECIES
Tm 168.93 Tm.upf
La 138.91 La.upf
Ho 164.93 Ho.upf
CELL_PARAMETERS angstrom
-1.119 -3.662 -4.795
11.554 -2.003 -1.166
-6.718 -5.493 2.413
ATOMIC_POSITIONS crystal
Tm 0.683 0.686 0.371
Tm 0.317 0.314 0.629
La 0.352 0.923 0.322
La 0.648 0.077 0.678
La 0.114 0.861 0.722
La 0.886 0.139 0.278
La 0.734 0.414 0.828
La 0.648 0.601 0.678
La 0.352 0.399 0.322
La 0.266 0.586 0.172
Ho 0.000 0.726 0.000
Ho 0.000 0.274 0.000
Ho 0.500 0.000 0.000
! ΔH_f (0 K)   0.1427 eV/atom
! Crystal system   monoclinic
! SG   C2/m
! Energy above the most stable polymorph in this dataset   0.0 kJ/mol of atoms
! Density of states at the Fermi level   1.624 states/eV/atom

***

No. 6
! La5HoTm4 | the Alexandria database | PBE-GGA | optimized geometry; values from VASP
&SYSTEM
  ibrav = 0, nat = 10, ntyp = 3
/
ATOMIC_SPECIES
La 138.91 La.upf
Tm 168.93 Tm.upf
Ho 164.93 Ho.upf
CELL_PARAMETERS angstrom
-2.462 1.052 -2.388
0.959 -11.106 -3.059
-6.982 1.499 5.502
ATOMIC_POSITIONS crystal
La 0.026 0.816 0.208
La 0.500 0.500 0.000
La 0.156 0.424 0.622
La 0.974 0.184 0.792
La 0.844 0.576 0.378
Tm 0.766 0.719 0.799
Tm 0.595 0.119 0.410
Tm 0.405 0.881 0.590
Tm 0.234 0.281 0.201
Ho 0.500 0.000 0.000
! ΔH_f (0 K)   0.0643 eV/atom
! Crystal system   triclinic
! SG   P-1
! Density of states at the Fermi level   1.633 states/eV/atom

***

No. 7
! LaHo4Tm | the Alexandria database | PBE-GGA | optimized geometry; values from VASP
&SYSTEM
  ibrav = 0, nat = 6, ntyp = 3
/
ATOMIC_SPECIES
Ho 164.93 Ho.upf
La 138.91 La.upf
Tm 168.93 Tm.upf
CELL_PARAMETERS angstrom
-2.641 -1.078 1.885
1.384 -5.484 -1.202
5.877 -0.287 8.073
ATOMIC_POSITIONS crystal
Ho 0.997 0.501 0.697
Ho 0.997 0.501 0.306
Ho 0.497 0.001 0.184
Ho 0.497 0.001 0.820
La 0.997 0.001 0.502
Tm 0.497 0.501 0.002
! ΔH_f (0 K)   0.2013 eV/atom
! Crystal system   orthorhombic
! SG   Pmmm
! Energy above the most stable polymorph in this dataset   0.0 kJ/mol of atoms
! Density of states at the Fermi level   2.219 states/eV/atom

***

No. 8
! La3Ho2Tm | the Alexandria database | PBE-GGA | optimized geometry; values from VASP
&SYSTEM
  ibrav = 0, nat = 6, ntyp = 3
/
ATOMIC_SPECIES
Ho 164.93 Ho.upf
La 138.91 La.upf
Tm 168.93 Tm.upf
CELL_PARAMETERS angstrom
-2.771 -1.921 0.803
2.879 -4.942 -1.890
3.530 2.053 9.607
ATOMIC_POSITIONS crystal
Ho 0.363 0.363 0.725
Ho 0.637 0.637 0.275
La 0.814 0.814 0.627
La 0.186 0.186 0.373
La 0.000 0.500 0.000
Tm 0.000 0.000 0.000
! ΔH_f (0 K)   0.3353 eV/atom
! Crystal system   orthorhombic
! SG   Immm
! Energy above the most stable polymorph in this dataset   27.6 kJ/mol of atoms
! Density of states at the Fermi level   1.634 states/eV/atom

***

No. 9
! La4HoTm7 | the Alexandria database | PBE-GGA | optimized geometry; values from VASP
&SYSTEM
  ibrav = 0, nat = 12, ntyp = 3
/
ATOMIC_SPECIES
La 138.91 La.upf
Tm 168.93 Tm.upf
Ho 164.93 Ho.upf
CELL_PARAMETERS angstrom
-0.699 4.225 4.049
-8.751 -3.970 6.921
3.856 -0.492 5.469
ATOMIC_POSITIONS crystal
La 0.639 0.224 0.499
La 0.700 0.709 0.891
La 0.361 0.776 0.501
La 0.300 0.291 0.109
Tm 0.354 0.514 0.778
Tm 0.966 0.373 0.695
Tm 0.207 0.082 0.504
Tm 0.646 0.486 0.222
Tm 0.034 0.627 0.305
Tm 0.793 0.918 0.496
Tm 0.500 0.000 0.000
Ho 0.000 0.000 0.000
! ΔH_f (0 K)   0.2786 eV/atom
! Crystal system   monoclinic
! SG   C2/m
! Density of states at the Fermi level   1.701 states/eV/atom

***

No. 10
! LaHo9Tm2 | the Alexandria database | PBE-GGA | optimized geometry; values from VASP
&SYSTEM
  ibrav = 0, nat = 12, ntyp = 3
/
ATOMIC_SPECIES
Ho 164.93 Ho.upf
Tm 168.93 Tm.upf
La 138.91 La.upf
CELL_PARAMETERS angstrom
-2.991 1.807 -0.302
-5.345 -7.856 5.910
4.723 8.692 5.231
ATOMIC_POSITIONS crystal
Ho 0.500 0.640 0.820
Ho 0.000 0.000 0.500
Ho 0.500 0.180 0.360
Ho 0.500 0.180 0.820
Ho 0.500 0.820 0.640
Ho 0.000 0.500 0.000
Ho 0.500 0.360 0.180
Ho 0.500 0.820 0.180
Ho 0.000 0.500 0.500
Tm 0.000 0.333 0.667
Tm 0.000 0.667 0.333
La 0.000 0.000 0.000
! ΔH_f (0 K)   0.0319 eV/atom
! Crystal system   hexagonal
! SG   P6/mmm
! Energy above the most stable polymorph in this dataset   0.3 kJ/mol of atoms
! Density of states at the Fermi level   1.293 states/eV/atom

***

No. 11
! La2Ho2Tm3 | the Alexandria database | PBE-GGA | optimized geometry; values from VASP
&SYSTEM
  ibrav = 0, nat = 14, ntyp = 3
/
ATOMIC_SPECIES
Tm 168.93 Tm.upf
La 138.91 La.upf
Ho 164.93 Ho.upf
CELL_PARAMETERS angstrom
7.955 0.000 -2.813
-3.978 6.890 -2.813
0.000 0.000 8.438
ATOMIC_POSITIONS crystal
Tm 0.750 0.549 0.299
Tm 0.701 0.750 0.951
Tm 0.799 0.250 0.549
Tm 0.250 0.951 0.201
Tm 0.049 0.299 0.250
Tm 0.451 0.201 0.750
La 0.317 0.500 0.000
La 0.183 0.683 0.683
La 0.500 0.817 0.500
La 0.000 0.000 0.817
Ho 0.920 0.500 0.000
Ho 0.000 0.000 0.420
Ho 0.580 0.080 0.080
Ho 0.500 0.420 0.500
! ΔH_f (0 K)   0.2132 eV/atom
! Crystal system   cubic
! SG   I2_13
! Energy above the most stable polymorph in this dataset   0.0 kJ/mol of atoms
! Density of states at the Fermi level   1.451 states/eV/atom

***

No. 12
! La3YHo2Tm6 | the Alexandria database | PBE-GGA | optimized geometry; values from VASP
&SYSTEM
  ibrav = 0, nat = 12, ntyp = 4
/
ATOMIC_SPECIES
La 138.91 La.upf
Tm 168.93 Tm.upf
Ho 164.93 Ho.upf
Y 88.91 Y.upf
CELL_PARAMETERS angstrom
-2.998 2.479 4.811
5.128 -3.333 0.935
5.692 9.865 -2.862
ATOMIC_POSITIONS crystal
La 0.500 0.500 0.500
La 0.833 0.167 0.500
La 0.167 0.833 0.500
Tm 0.585 0.919 0.756
Tm 0.747 0.747 0.244
Tm 0.081 0.415 0.244
Tm 0.919 0.585 0.756
Tm 0.253 0.253 0.756
Tm 0.415 0.081 0.244
Ho 0.667 0.333 0.000
Ho 0.333 0.667 0.000
Y 0.000 0.000 0.000
! ΔH_f (0 K)   0.0286 eV/atom
! Crystal system   monoclinic
! SG   C2/m
! Density of states at the Fermi level   1.384 states/eV/atom